Record 1
{
  "formula": "Hf2FeCuH",
  "functional": "PBE-GGA",
  "state": "optimized geometry",
  "dft_energy_ev_per_atom": -7.3689,
  "m_tot_mub_per_cell": 0.88,
  "dos_ef_per_ev_fu": 3.7,
  "cell": [[4.494, 0.000, 0.000], [0.000, 4.494, 0.000], [0.000, 0.000, 3.359]],
  "species": ["Hf", "Hf", "Fe", "Cu", "H"],
  "fractional_positions": [[0.000, 0.500, 0.000], [0.500, 0.000, 0.000], [0.000, 0.000, 0.500], [0.500, 0.500, 0.500], [0.000, 0.000, 0.000]]
}

***

Record 2
{
  "formula": "K2FeCuH6",
  "functional": "PBE-GGA",
  "state": "optimized geometry",
  "dft_energy_ev_per_atom": -3.4614,
  "m_tot_mub_per_cell": 1.34,
  "dos_ef_per_ev_fu": 5.7,
  "cell": [[5.320, -2.469, 0.000], [5.320, 2.469, 0.000], [-2.261, 0.000, 4.376]],
  "species": ["K", "K", "Fe", "Cu", "H", "H", "H", "H", "H", "H"],
  "fractional_positions": [[0.250, 0.250, 0.249], [0.750, 0.750, 0.751], [0.500, 0.500, 0.000], [0.000, 0.000, 0.500], [0.250, 0.746, 0.751], [0.254, 0.750, 0.249], [0.331, 0.331, 0.826], [0.669, 0.669, 0.174], [0.746, 0.250, 0.751], [0.750, 0.254, 0.249]]
}

***

Record 3
{
  "formula": "LiFeCu2H6",
  "functional": "PBE-GGA",
  "state": "optimized geometry",
  "dft_energy_ev_per_atom": -3.8735,
  "m_tot_mub_per_cell": 0.60,
  "dos_ef_per_ev_fu": 4.8,
  "cell": [[2.209, 1.275, 4.136], [-2.209, 1.275, 4.136], [0.000, -2.550, 4.136]],
  "species": ["Li", "Fe", "Cu", "Cu", "H", "H", "H", "H", "H", "H"],
  "fractional_positions": [[0.000, 0.000, 0.000], [0.430, 0.430, 0.430], [0.215, 0.215, 0.215], [0.777, 0.777, 0.777], [0.033, 0.482, 0.523], [0.224, 0.774, 0.555], [0.482, 0.523, 0.033], [0.523, 0.033, 0.482], [0.555, 0.224, 0.774], [0.774, 0.555, 0.224]]
}

***

Record 4
{
  "formula": "LiFe2CuH",
  "functional": "PBE-GGA",
  "state": "optimized geometry",
  "dft_energy_ev_per_atom": -5.1882,
  "m_tot_mub_per_cell": 4.72,
  "dos_ef_per_ev_fu": 3.5,
  "cell": [[3.580, 0.000, 0.000], [0.000, 3.580, 0.000], [0.000, 0.000, 3.846]],
  "species": ["Li", "Fe", "Fe", "Cu", "H"],
  "fractional_positions": [[0.000, 0.000, 0.000], [0.000, 0.500, 0.500], [0.500, 0.000, 0.500], [0.500, 0.500, 0.000], [0.000, 0.000, 0.500]]
}

***

Record 5
{
  "formula": "Li2FeCuH",
  "functional": "PBE-GGA",
  "state": "optimized geometry",
  "dft_energy_ev_per_atom": -3.8611,
  "m_tot_mub_per_cell": 2.02,
  "dos_ef_per_ev_fu": 3.7,
  "cell": [[3.707, 0.000, 0.000], [0.000, 3.707, 0.000], [0.000, 0.000, 3.707]],
  "species": ["Li", "Li", "Fe", "Cu", "H"],
  "fractional_positions": [[0.000, 0.500, 0.000], [0.500, 0.000, 0.000], [0.000, 0.000, 0.500], [0.500, 0.500, 0.500], [0.000, 0.000, 0.000]]
}

***

Record 6
{
  "formula": "MnFe2CuH",
  "functional": "PBE-GGA",
  "state": "optimized geometry",
  "dft_energy_ev_per_atom": -6.5267,
  "m_tot_mub_per_cell": 8.02,
  "dos_ef_per_ev_fu": 5.0,
  "cell": [[3.597, 0.000, 0.000], [0.000, 3.597, 0.000], [0.000, 0.000, 3.954]],
  "species": ["Mn", "Fe", "Fe", "Cu", "H"],
  "fractional_positions": [[0.000, 0.000, 0.000], [0.000, 0.500, 0.500], [0.500, 0.000, 0.500], [0.500, 0.500, 0.000], [0.500, 0.500, 0.500]]
}

***

Record 7
{
  "formula": "MnFe2CuH",
  "functional": "PBE-GGA",
  "state": "optimized geometry",
  "dft_energy_ev_per_atom": -6.5957,
  "m_tot_mub_per_cell": 8.13,
  "dos_ef_per_ev_fu": 4.7,
  "cell": [[3.631, 0.000, 0.000], [0.000, 3.631, 0.000], [0.000, 0.000, 3.870]],
  "species": ["Mn", "Fe", "Fe", "Cu", "H"],
  "fractional_positions": [[0.000, 0.000, 0.000], [0.000, 0.500, 0.500], [0.500, 0.000, 0.500], [0.500, 0.500, 0.000], [0.000, 0.000, 0.500]]
}

***

Record 8
{
  "formula": "FeCuMoHSe",
  "functional": "PBE-GGA",
  "state": "optimized geometry",
  "dft_energy_ev_per_atom": -5.7970,
  "m_tot_mub_per_cell": 0.28,
  "dos_ef_per_ev_fu": 2.8,
  "cell": [[2.842, 0.000, 0.000], [-0.855, 3.289, 0.000], [-0.778, -1.569, 7.223]],
  "species": ["Fe", "Cu", "Mo", "H", "Se"],
  "fractional_positions": [[0.000, 0.000, 0.000], [0.378, 0.078, 0.473], [0.660, 0.605, 0.199], [0.051, 0.209, 0.237], [0.579, 0.316, 0.810]]
}